A:
First-principles (GGA-PBE) data for a geometry-optimized SiHgGe3 structure, as listed in Alexandria via LeMat-Bulk.

a = 4.850 Å, b = 4.850 Å, c = 4.850 Å
α = 90.00°, β = 90.00°, γ = 90.00°
Space group Pm-3m (No. 221)
Asymmetric unit:
Si 0.000 0.000 0.000
Hg 0.500 0.500 0.500
Ge 0.000 0.000 0.500

B:
First-principles (GGA-PBE) data for a geometry-optimized SiHgGe3 structure, as listed in Alexandria via LeMat-Bulk.

a = 5.170 Å, b = 5.170 Å, c = 5.170 Å
α = 90.00°, β = 90.00°, γ = 90.00°
Space group Pm-3m (No. 221)
Asymmetric unit:
Si 0.000 0.000 0.000
Hg 0.500 0.500 0.500
Ge 0.000 0.500 0.500

Stability verdict: A, ahead by 0.609 eV/atom

A:
First-principles (GGA-PBE) data for a geometry-optimized Sm4HgGe structure, as listed in Alexandria via LeMat-Bulk.

a = 5.382 Å, b = 21.807 Å, c = 6.386 Å
α = 90.00°, β = 90.00°, γ = 90.00°
Space group Cmc2_1 (No. 36)
Asymmetric unit:
Sm 0.000 0.065 0.000
Sm 0.000 0.210 0.243
Sm 0.000 0.210 0.759
Sm 0.000 0.372 0.002
Hg 0.000 0.073 0.500
Ge 0.000 0.340 0.501

B:
First-principles (GGA-PBE) data for a geometry-optimized Sm4HgGe structure, as listed in Alexandria via LeMat-Bulk.

a = 6.139 Å, b = 6.716 Å, c = 8.931 Å
α = 90.00°, β = 108.40°, γ = 90.00°
Space group P2_1/m (No. 11)
Asymmetric unit:
Sm 0.177 0.250 0.071
Sm 0.263 0.502 0.741
Sm 0.281 0.750 0.365
Hg 0.207 0.250 0.423
Ge 0.345 0.750 0.044

Stability verdict: B, ahead by 0.202 eV/atom

A:
First-principles (GGA-PBE) data for a geometry-optimized SmHgGe2 structure, as listed in Alexandria via LeMat-Bulk.

a = 4.564 Å, b = 4.564 Å, c = 4.220 Å
α = 90.00°, β = 90.00°, γ = 90.00°
Space group P4/mmm (No. 123)
Asymmetric unit:
Sm 0.000 0.000 0.000
Hg 0.500 0.500 0.000
Ge 0.000 0.500 0.500

B:
First-principles (GGA-PBE) data for a geometry-optimized SmHgGe2 structure, as listed in Alexandria via LeMat-Bulk.

a = 4.9415 Å, b = 4.9415 Å, c = 20.4277 Å
α = 90.00°, β = 90.00°, γ = 120.00°
Space group R-3m (No. 166, hexagonal axes)
Asymmetric unit:
Sm 0.0000 0.0000 0.0000
Hg 0.0000 0.0000 0.5000
Ge 0.0000 0.0000 0.3711

Stability verdict: A, ahead by 0.558 eV/atom

A:
First-principles (GGA-PBE) data for a geometry-optimized Sn2HgGe structure, as listed in Alexandria via LeMat-Bulk.

a = 7.352 Å, b = 7.352 Å, c = 7.352 Å
α = 90.00°, β = 90.00°, γ = 90.00°
Space group Fm-3m (No. 225)
Asymmetric unit:
Sn 0.250 0.250 0.250
Hg 0.000 0.000 0.000
Ge 0.000 0.000 0.500

B:
First-principles (GGA-PBE) data for a geometry-optimized Sn2HgGe structure, as listed in Alexandria via LeMat-Bulk.

a = 4.2124 Å, b = 4.2124 Å, c = 21.1098 Å
α = 90.00°, β = 90.00°, γ = 120.00°
Space group R3m (No. 160, hexagonal axes)
Asymmetric unit:
Sn 0.0000 0.0000 0.0000
Sn 0.0000 0.0000 0.1876
Hg 0.0000 0.0000 0.4261
Ge 0.0000 0.0000 0.5938

C:
First-principles (GGA-PBE) data for a geometry-optimized Sn2HgGe structure, as listed in Alexandria via LeMat-Bulk.

a = 4.701 Å, b = 4.701 Å, c = 4.525 Å
α = 90.00°, β = 90.00°, γ = 90.00°
Space group P4/mmm (No. 123)
Asymmetric unit:
Sn 0.000 0.500 0.000
Hg 0.000 0.000 0.500
Ge 0.500 0.500 0.500

D:
First-principles (GGA-PBE) data for a geometry-optimized Sn2HgGe structure, as listed in Alexandria via LeMat-Bulk.

a = 6.597 Å, b = 6.597 Å, c = 12.021 Å
α = 90.00°, β = 90.00°, γ = 90.00°
Space group I-42d (No. 122)
Asymmetric unit:
Sn 0.229 0.250 0.125
Hg 0.000 0.000 0.500
Ge 0.000 0.000 0.000

Stability verdict: B, ahead by 0.029 eV/atom

A:
First-principles (GGA-PBE) data for a geometry-optimized Sn2HgGe structure, as listed in Alexandria via LeMat-Bulk.

a = 3.546 Å, b = 3.546 Å, c = 8.085 Å
α = 90.00°, β = 90.00°, γ = 90.00°
Space group P4/mmm (No. 123)
Asymmetric unit:
Sn 0.000 0.000 0.218
Hg 0.500 0.500 0.500
Ge 0.500 0.500 0.000

B:
First-principles (GGA-PBE) data for a geometry-optimized Sn2HgGe structure, as listed in Alexandria via LeMat-Bulk.

a = 4.1069 Å, b = 4.1069 Å, c = 21.7353 Å
α = 90.00°, β = 90.00°, γ = 120.00°
Space group R-3m (No. 166, hexagonal axes)
Asymmetric unit:
Sn 0.0000 0.0000 0.2395
Hg 0.0000 0.0000 0.0000
Ge 0.0000 0.0000 0.5000

Stability verdict: B, ahead by 0.020 eV/atom

A:
First-principles (GGA-PBE) data for a geometry-optimized SnHg3Ge structure, as listed in Alexandria via LeMat-Bulk.

a = 5.307 Å, b = 5.307 Å, c = 5.307 Å
α = 90.00°, β = 90.00°, γ = 90.00°
Space group Pm-3m (No. 221)
Asymmetric unit:
Sn 0.000 0.000 0.000
Hg 0.000 0.500 0.500
Ge 0.500 0.500 0.500

B:
First-principles (GGA-PBE) data for a geometry-optimized SnHg3Ge structure, as listed in Alexandria via LeMat-Bulk.

a = 5.563 Å, b = 5.563 Å, c = 5.563 Å
α = 90.00°, β = 90.00°, γ = 90.00°
Space group Pm-3m (No. 221)
Asymmetric unit:
Sn 0.000 0.000 0.000
Hg 0.000 0.000 0.500
Ge 0.500 0.500 0.500

Stability verdict: A, ahead by 0.247 eV/atom

A:
First-principles (GGA-PBE) data for a geometry-optimized Sn2Hg2Ge structure, as listed in Alexandria via LeMat-Bulk.

a = 3.984 Å, b = 3.984 Å, c = 17.619 Å
α = 90.00°, β = 90.00°, γ = 90.00°
Space group I4/mmm (No. 139)
Asymmetric unit:
Sn 0.000 0.000 0.086
Hg 0.000 0.500 0.250
Ge 0.000 0.000 0.500

B:
First-principles (GGA-PBE) data for a geometry-optimized Sn2Hg2Ge structure, as listed in Alexandria via LeMat-Bulk.

a = 7.532 Å, b = 7.532 Å, c = 4.595 Å
α = 90.00°, β = 90.00°, γ = 90.00°
Space group P4/mbm (No. 127)
Asymmetric unit:
Sn 0.170 0.330 0.000
Hg 0.141 0.641 0.500
Ge 0.000 0.000 0.500

C:
First-principles (GGA-PBE) data for a geometry-optimized Sn2Hg2Ge structure, as listed in Alexandria via LeMat-Bulk.

a = 4.227 Å, b = 4.227 Å, c = 15.345 Å
α = 90.00°, β = 90.00°, γ = 90.00°
Space group I4/mmm (No. 139)
Asymmetric unit:
Sn 0.000 0.500 0.250
Hg 0.000 0.000 0.092
Ge 0.000 0.000 0.500

D:
First-principles (GGA-PBE) data for a geometry-optimized Sn2Hg2Ge structure, as listed in Alexandria via LeMat-Bulk.

a = 7.453 Å, b = 7.453 Å, c = 4.868 Å
α = 90.00°, β = 90.00°, γ = 90.00°
Space group P4/mbm (No. 127)
Asymmetric unit:
Sn 0.145 0.355 0.000
Hg 0.170 0.670 0.500
Ge 0.000 0.000 0.000

Stability verdict: D, ahead by 0.045 eV/atom

A:
First-principles (GGA-PBE) data for a geometry-optimized Sn2HgGe2 structure, as listed in Alexandria via LeMat-Bulk.

a = 4.044 Å, b = 4.044 Å, c = 15.717 Å
α = 90.00°, β = 90.00°, γ = 90.00°
Space group I4/mmm (No. 139)
Asymmetric unit:
Sn 0.000 0.000 0.112
Hg 0.000 0.000 0.500
Ge 0.000 0.500 0.250

B:
First-principles (GGA-PBE) data for a geometry-optimized Sn2HgGe2 structure, as listed in Alexandria via LeMat-Bulk.

a = 8.588 Å, b = 8.588 Å, c = 3.362 Å
α = 90.00°, β = 90.00°, γ = 90.00°
Space group P4/mbm (No. 127)
Asymmetric unit:
Sn 0.150 0.350 0.000
Hg 0.000 0.000 0.500
Ge 0.143 0.643 0.500

C:
First-principles (GGA-PBE) data for a geometry-optimized Sn2HgGe2 structure, as listed in Alexandria via LeMat-Bulk.

a = 5.152 Å, b = 5.152 Å, c = 9.828 Å
α = 90.00°, β = 90.00°, γ = 90.00°
Space group I4/mmm (No. 139)
Asymmetric unit:
Sn 0.000 0.500 0.250
Hg 0.000 0.000 0.000
Ge 0.000 0.000 0.373

Stability verdict: C, ahead by 0.011 eV/atom

A:
First-principles (GGA-PBE) data for a geometry-optimized Ta2HgGe2 structure, as listed in Alexandria via LeMat-Bulk.

a = 7.513 Å, b = 7.513 Å, c = 3.307 Å
α = 90.00°, β = 90.00°, γ = 90.00°
Space group P4/mbm (No. 127)
Asymmetric unit:
Ta 0.132 0.368 0.000
Hg 0.000 0.000 0.000
Ge 0.160 0.660 0.500

B:
First-principles (GGA-PBE) data for a geometry-optimized Ta2HgGe2 structure, as listed in Alexandria via LeMat-Bulk.

a = 7.606 Å, b = 7.606 Å, c = 3.193 Å
α = 90.00°, β = 90.00°, γ = 90.00°
Space group P4/mbm (No. 127)
Asymmetric unit:
Ta 0.130 0.370 0.000
Hg 0.000 0.000 0.500
Ge 0.159 0.659 0.500

Stability verdict: A, ahead by 0.124 eV/atom

A:
First-principles (GGA-PBE) data for a geometry-optimized TaHg3Ge structure, as listed in Alexandria via LeMat-Bulk.

a = 5.358 Å, b = 5.358 Å, c = 5.358 Å
α = 90.00°, β = 90.00°, γ = 90.00°
Space group Pm-3m (No. 221)
Asymmetric unit:
Ta 0.000 0.000 0.000
Hg 0.000 0.000 0.500
Ge 0.500 0.500 0.500

B:
First-principles (GGA-PBE) data for a geometry-optimized TaHg3Ge structure, as listed in Alexandria via LeMat-Bulk.

a = 5.069 Å, b = 5.069 Å, c = 5.069 Å
α = 90.00°, β = 90.00°, γ = 90.00°
Space group Pm-3m (No. 221)
Asymmetric unit:
Ta 0.000 0.000 0.000
Hg 0.000 0.500 0.500
Ge 0.500 0.500 0.500

Stability verdict: A, ahead by 0.282 eV/atom

A:
First-principles (GGA-PBE) data for a geometry-optimized TaHgGe3 structure, as listed in Alexandria via LeMat-Bulk.

a = 5.021 Å, b = 5.021 Å, c = 5.021 Å
α = 90.00°, β = 90.00°, γ = 90.00°
Space group Pm-3m (No. 221)
Asymmetric unit:
Ta 0.000 0.000 0.000
Hg 0.500 0.500 0.500
Ge 0.000 0.500 0.500

B:
First-principles (GGA-PBE) data for a geometry-optimized TaHgGe3 structure, as listed in Alexandria via LeMat-Bulk.

a = 5.070 Å, b = 5.070 Å, c = 5.070 Å
α = 90.00°, β = 90.00°, γ = 90.00°
Space group Pm-3m (No. 221)
Asymmetric unit:
Ta 0.000 0.000 0.000
Hg 0.500 0.500 0.500
Ge 0.000 0.000 0.500

Stability verdict: B, ahead by 1.237 eV/atom